Entry 1:
Here is a geometry-optimized TbTm2Pd structure from Alexandria via LeMat-Bulk. Energies are from PBE.

Cell and atoms, written as POSCAR:
```
TbTm2Pd
1.0
3.5357 0.0000 0.0000
0.0000 3.5357 0.0000
0.0000 0.0000 8.3436
Tb Tm Pd
1 2 1
direct
0.0000 0.0000 0.0000
0.5000 0.5000 0.3022
0.5000 0.5000 0.6978
0.0000 0.0000 0.5000
```

Output
For the relative energy among the computed polymorphs, the calculation gives 47.3 meV/atom. For the energy of formation from the pure elements, the calculation gives -0.442 eV/atom.



Entry 2:
Here is a geometry-optimized Y5Cr structure from Alexandria via LeMat-Bulk. Energies are from PBE.

Cell and atoms, written as POSCAR:
```
Y5Cr
1.0
5.5040 0.0000 0.0000
0.0000 1.8275 8.8452
0.0000 -1.8275 8.8452
Y Cr
5 1
direct
0.0000 0.0000 0.0000
0.0000 0.3133 0.3133
0.5000 0.1980 0.1980
0.5000 0.5420 0.5420
0.5000 0.8729 0.8729
0.0000 0.6545 0.6545
```

Output
For the relative energy among the computed polymorphs, the calculation gives 71.3 meV/atom. For the energy of formation from the pure elements, the calculation gives 0.220 eV/atom.



Entry 3:
Here is a geometry-optimized Zn2GaSiF structure from Alexandria via LeMat-Bulk. Energies are from PBE.

Cell and atoms, written as POSCAR:
```
Zn2GaSiF
1.0
4.7134 0.0000 0.0000
0.0000 4.7134 0.0000
0.0000 0.0000 5.0142
Zn Ga Si F
2 1 1 1
direct
0.0000 0.5000 0.0000
0.5000 0.0000 0.0000
0.0000 0.0000 0.5000
0.0000 0.0000 0.0000
0.5000 0.5000 0.5000
```

Output
As for the raw formation energy: -0.45 eV/f.u.



Entry 4:
Here is a geometry-optimized MgTiNb3 structure from Alexandria via LeMat-Bulk. Energies are from PBE.

Cell and atoms, written as POSCAR:
```
MgTiNb3
1.0
4.7538 0.0000 0.0000
0.0000 4.7538 0.0000
0.0000 0.0000 4.7538
Mg Ti Nb
1 1 3
direct
0.0000 0.0000 0.0000
0.5000 0.5000 0.5000
0.0000 0.0000 0.5000
0.0000 0.5000 0.0000
0.5000 0.0000 0.0000
```

Output
For the relative energy among the computed polymorphs, the calculation gives 618.3 meV/atom. For the energy of formation from the pure elements, the calculation gives 1.674 eV/atom.